The following is a PBE-GGA calculation of a relaxed structure of Ba2Tl3Pb, from Alexandria.

- Crystal system: monoclinic
- DOS at the Fermi energy: 3.24 states/eV/f.u.
- Energy of formation: -2.36 eV per formula unit
- Size of the total moment: 0.000 μB per cell
- Relative energy among the computed polymorphs: 0.0 kJ per mole of atoms

a = 12.848 Å, b = 5.215 Å, c = 8.434 Å
α = 90.00°, β = 129.43°, γ = 90.00°
Space group Cm (No. 8)
Unique sites:
Ba (0.000, 0.000, 0.000)
Ba (0.099, 0.000, 0.602)
Tl (0.213, 0.500, 0.383)
Tl (0.384, 0.000, 0.613)
Tl (0.390, 0.000, 0.234)
Pb (0.213, 0.500, 0.993)